1.
SrLaPmHo | GGA-PBE | relaxed

Results
The formation energy from the elements comes out at 208.1 meV/atom. The value obtained for the total energy is -3.78 eV per atom.

```
SrLaPmHo
1.0
-5.9752 0.0634 0.3004
-3.2497 -1.8788 -4.6590
-3.0326 -5.1458 0.3486
La Ho Sr Pm
1 1 1 1
Direct
0.5000 0.5000 0.5000
0.7500 0.7500 0.7500
0.2500 0.2500 0.2500
0.0000 0.0000 0.0000
```

=====

2.
La2Tb6PmHo3 | GGA-PBE | relaxed

Results
The formation energy from the elements comes out at 21.0 meV/atom. The value obtained for the total energy is -4.66 eV per atom.

```
La2Tb6PmHo3
1.0
-4.4326 -4.3618 -0.2850
5.2025 -1.0565 3.2515
-5.3127 6.3194 8.5681
Tb Pm La Ho
6 1 2 3
Direct
0.0857 0.4185 0.2555
0.5815 0.9143 0.7445
0.2469 0.2469 0.7445
0.4185 0.0857 0.2555
0.9143 0.5815 0.7445
0.7531 0.7531 0.2555
0.0000 0.0000 0.0000
0.3334 0.6666 0.0000
0.6666 0.3334 0.0000
0.1665 0.8335 0.5000
0.5000 0.5000 0.5000
0.8335 0.1665 0.5000
```

=====

3.
La2Tb3Pm6Ho | GGA-PBE | relaxed

Results
The formation energy from the elements comes out at 18.4 meV/atom. The value obtained for the total energy is -4.72 eV per atom.

```
La2Tb3Pm6Ho
1.0
-4.6087 3.1650 -2.9070
-1.1670 -5.6542 2.5251
-0.9790 6.0220 10.3971
La Pm Tb Ho
2 6 3 1
Direct
0.3333 0.6667 0.0000
0.6667 0.3333 0.0000
0.0845 0.4162 0.2536
0.7526 0.7526 0.2539
0.5838 0.9155 0.7464
0.2474 0.2474 0.7461
0.4162 0.0845 0.2536
0.9155 0.5838 0.7464
0.8337 0.1663 0.5000
0.1663 0.8337 0.5000
0.5000 0.5000 0.5000
0.0000 0.0000 0.0000
```